This record from Alexandria describes CrMo14W after structural relaxation. The functional is GGA-PBE.

a = 6.3069 Å, b = 6.3069 Å, c = 6.3065 Å
α = 90.00°, β = 90.00°, γ = 90.00°
Closest atoms and distances in Å follow each position.
Space group P4/mmm (No. 123)
Symmetry-distinct sites (fractional):
Cr 0.0000 0.0000 0.0000 [1 per cell]  8 Mo 2.71
Mo 0.0000 0.0000 0.5000 [1 per cell]  8 Mo 2.72
Mo 0.0000 0.5000 0.0000 [2 per cell]  8 Mo 2.72
Mo 0.0000 0.5000 0.5000 [2 per cell]  8 Mo 2.74
Mo 0.2476 0.2476 0.2481 [8 per cell]  1 Cr 2.71, 6 Mo 2.72-2.75, 1 W 2.74
Mo 0.5000 0.5000 0.5000 [1 per cell]  8 Mo 2.75
W 0.5000 0.5000 0.0000 [1 per cell]  8 Mo 2.74

## Properties
N(E_F), states/eV/f.u.: 13.750
Energy of formation from the pure elements, meV per atom: 12
Magnetic moment, μB/f.u.: 0.0